Material: TbNdDyEr
Method: DFT, PBE
State: relaxed

Energy   -72.2 eV for the cell shown
Excess energy over the best structure of this formula in the dataset   0 kJ/mol of formula units
ΔH_f (0 K)   0.128 eV per atom

abc: 8.0511 8.0511 8.0511
angles: 90.00 90.00 90.00
Space group F-43m (No. 216)
One atom of each set of equivalent atoms:
Tb 0.0000 0.0000 0.0000
Nd 0.0000 0.0000 0.5000
Dy 0.2500 0.2500 0.2500
Er 0.2500 0.2500 0.7500